Here is crystalline LiPt2Br at its relaxed geometry from Alexandria via LeMat-Bulk. Energies are from PBE.

```
LiPt2Br
1.0
-5.525 0.085 -2.212
-3.881 -4.500 0.349
3.642 3.561 3.079
Pt Br Li
2 1 1
Direct
0.741 0.241 0.500
0.914 0.914 0.000
0.571 0.571 0.000
0.274 0.774 0.500
```

Calculated values
The formation energy (no corrections) comes out at -0.06 eV/atom. The crystal system is orthorhombic. Its space-group type is Imm2. The density comes out at 10.0 Mg/m³. As for the total energy: -15.9 eV/cell.

=====

Here is crystalline SrEr2Tl3Te6 at its relaxed geometry from Alexandria via LeMat-Bulk. Energies are from PBE.

```
SrEr2Tl3Te6
1.0
7.885 -0.004 -0.007
-3.944 6.828 -0.007
-1.322 -2.289 7.942
Te Tl Sr Er
6 3 1 2
Direct
0.569 0.925 0.778
0.431 0.075 0.222
0.285 0.285 0.786
0.715 0.715 0.214
0.075 0.431 0.222
0.925 0.569 0.778
0.840 0.160 0.500
0.160 0.840 0.500
0.500 0.500 0.500
0.000 0.000 0.000
0.330 0.670 0.000
0.670 0.330 0.000
```

Calculated values
The formation energy (no corrections) comes out at -0.99 eV/atom. The crystal system is monoclinic. Its space-group type is C2/m. The density comes out at 7.0 Mg/m³. As for the total energy: -48.6 eV/cell.

=====

> Which of these has the highest formation energy (no corrections)?

LiPt2Br

=====

> Number 2 is which compound?

SrEr2Tl3Te6